Here is a geometry-optimized PrV2MoO8 structure from the Alexandria database. Energies are from GGA+U.

Output
For the total energy, the calculation gives -7.64 eV per atom. The calculation puts the density of states at the Fermi level at 0.000 states/eV/f.u.

Structure (CIF):
```
data_PrV2MoO8
_cell_length_a 5.8520
_cell_length_b 5.8520
_cell_length_c 6.4007
_cell_angle_alpha 90.00
_cell_angle_beta 90.00
_cell_angle_gamma 120.00
_symmetry_space_group_name_H-M 'P -3 m 1'
_symmetry_Int_Tables_number 164
_symmetry_space_group_name_Hall '-P 3 2"'
loop_
_atom_site_label
_atom_site_fract_x
_atom_site_fract_y
_atom_site_fract_z
Pr1 0.0000 0.0000 0.0000
V1 0.3333 0.6667 0.6457
Mo1 0.0000 0.0000 0.5000
O1 0.1628 0.3257 0.7263
O2 0.3333 0.6667 0.3916
```